Compound: Sr2SmSn4Pt3
Source: Alexandria via LeMat-Bulk
Functional: GGA-PBE
Structure: optimized geometry

Space-group type: P-4m2 (115)
Total DFT energy (no corrections) (eV/atom): -4.96
ΔE_f (eV/atom): -0.74
Magnetization (μB/cell): 0.00

a = 4.560 Å, b = 4.560 Å, c = 12.376 Å
α = 90.00°, β = 90.00°, γ = 90.00°
Sites, in units of the cell vectors:
Sr1 0.000 0.500 0.233
Sr2 0.500 0.000 0.767
Sm1 0.000 0.000 0.500
Sn1 0.000 0.000 0.000
Sn2 0.000 0.500 0.664
Sn3 0.500 0.000 0.336
Sn4 0.500 0.500 0.000
Pt1 0.000 0.500 0.880
Pt2 0.500 0.000 0.120
Pt3 0.500 0.500 0.500